# ZnCrF2

Crystalline ZnCrF2 at its relaxed geometry (GGA+U, Alexandria).

Total moment, μB per atom: 1.0000
Offset from the most stable computed form, meV per atom: 0
Calculated volume, Å³/f.u.: 95.0
Total energy, eV/atom: -4.574

Unit cell a=5.848 b=5.848 c=11.110 alpha=90.00 beta=90.00 gamma=90.00
Space group I-42d (No. 122)
One atom of each set of equivalent atoms:
1 Zn 0.000 0.000 0.000 x4
2 Cr 0.000 0.000 0.500 x4
3 F 0.002 0.250 0.625 x8